[1]
Density functional theory data (PBE) for an optimized crystal structure of LiMg2Zn2Ag4.

Calculated values
For the uncorrected energy, the calculation gives -2.280 eV per atom. For the volume, the calculation gives 154 Å³ per cell. The energy of formation from the pure elements comes out at -0.1631 eV/atom.

Lattice parameters (Å, degrees): 6.673 6.673 6.618 107.48 107.48 33.30
Fractional positions:
Li 0.000 0.000 0.000
Mg 0.116 0.116 0.658
Mg 0.884 0.884 0.342
Zn 0.333 0.333 0.997
Zn 0.667 0.667 0.003
Ag 0.217 0.217 0.319
Ag 0.456 0.456 0.692
Ag 0.544 0.544 0.308
Ag 0.783 0.783 0.681

***

[2]
Density functional theory data (PBE) for an optimized crystal structure of K4NdPu3O12.

Calculated values
For the uncorrected energy, the calculation gives -8.140 eV per atom. The value obtained for the formation energy without anion corrections is -51.15 eV/f.u. For the volume, the calculation gives 324 Å³ per cell.

Lattice parameters (Å, degrees): 7.492 7.492 7.492 109.47 109.47 109.47
Fractional positions:
K 0.000 0.000 0.500
K 0.000 0.500 0.000
K 0.500 0.000 0.000
K 0.500 0.500 0.500
Nd 0.000 0.000 0.000
Pu 0.000 0.500 0.500
Pu 0.500 0.000 0.500
Pu 0.500 0.500 0.000
O 0.000 0.270 0.270
O 0.000 0.730 0.730
O 0.250 0.500 0.750
O 0.250 0.750 0.500
O 0.270 0.000 0.270
O 0.270 0.270 0.000
O 0.500 0.250 0.750
O 0.500 0.750 0.250
O 0.730 0.000 0.730
O 0.730 0.730 0.000
O 0.750 0.250 0.500
O 0.750 0.500 0.250

***

[3]
Density functional theory data (PBE) for an optimized crystal structure of SrLa4Ti2.

Calculated values
For the uncorrected energy, the calculation gives -4.406 eV per atom. For the volume, the calculation gives 519 Å³ per cell. The energy of formation from the pure elements comes out at 0.9061 eV/atom.

Lattice parameters (Å, degrees): 6.013 6.013 14.361 90.00 90.00 90.00
Fractional positions:
Sr 0.000 0.000 0.000
Sr 0.500 0.500 0.500
La 0.000 0.000 0.229
La 0.000 0.000 0.771
La 0.000 0.500 0.000
La 0.000 0.500 0.500
La 0.500 0.000 0.000
La 0.500 0.000 0.500
La 0.500 0.500 0.271
La 0.500 0.500 0.729
Ti 0.000 0.000 0.419
Ti 0.000 0.000 0.581
Ti 0.500 0.500 0.081
Ti 0.500 0.500 0.919

***

Please write out number 2 again, unchanged.
Density functional theory data (PBE) for an optimized crystal structure of K4NdPu3O12.

Calculated values
For the uncorrected energy, the calculation gives -8.140 eV per atom. The value obtained for the formation energy without anion corrections is -51.15 eV/f.u. For the volume, the calculation gives 324 Å³ per cell.

Lattice parameters (Å, degrees): 7.492 7.492 7.492 109.47 109.47 109.47
Fractional positions:
K 0.000 0.000 0.500
K 0.000 0.500 0.000
K 0.500 0.000 0.000
K 0.500 0.500 0.500
Nd 0.000 0.000 0.000
Pu 0.000 0.500 0.500
Pu 0.500 0.000 0.500
Pu 0.500 0.500 0.000
O 0.000 0.270 0.270
O 0.000 0.730 0.730
O 0.250 0.500 0.750
O 0.250 0.750 0.500
O 0.270 0.000 0.270
O 0.270 0.270 0.000
O 0.500 0.250 0.750
O 0.500 0.750 0.250
O 0.730 0.000 0.730
O 0.730 0.730 0.000
O 0.750 0.250 0.500
O 0.750 0.500 0.250

***

Copy entry 2 word for word.
Density functional theory data (PBE) for an optimized crystal structure of K4NdPu3O12.

Calculated values
For the uncorrected energy, the calculation gives -8.140 eV per atom. The value obtained for the formation energy without anion corrections is -51.15 eV/f.u. For the volume, the calculation gives 324 Å³ per cell.

Lattice parameters (Å, degrees): 7.492 7.492 7.492 109.47 109.47 109.47
Fractional positions:
K 0.000 0.000 0.500
K 0.000 0.500 0.000
K 0.500 0.000 0.000
K 0.500 0.500 0.500
Nd 0.000 0.000 0.000
Pu 0.000 0.500 0.500
Pu 0.500 0.000 0.500
Pu 0.500 0.500 0.000
O 0.000 0.270 0.270
O 0.000 0.730 0.730
O 0.250 0.500 0.750
O 0.250 0.750 0.500
O 0.270 0.000 0.270
O 0.270 0.270 0.000
O 0.500 0.250 0.750
O 0.500 0.750 0.250
O 0.730 0.000 0.730
O 0.730 0.730 0.000
O 0.750 0.250 0.500
O 0.750 0.500 0.250

***

Q: Among the records above, which one has the lowest uncorrected energy?
A: K4NdPu3O12